1.
# MnFeNi2 PBE relaxed
data_MnFeNi2
_chemical_formula_sum 'Mn3 Fe3 Ni6'
_cell_length_a 2.4883
_cell_length_b 2.4883
_cell_length_c 24.5172
_cell_angle_alpha 90.00
_cell_angle_beta 90.00
_cell_angle_gamma 120.00
_space_group_name_H-M_alt 'R 3 m'
_space_group_IT_number 160
_space_group_name_Hall 'R 3 -2"'
loop_
_atom_site_label
_atom_site_type_symbol
_atom_site_fract_x
_atom_site_fract_y
_atom_site_fract_z
Mn1 Mn 0.0000 0.0000 0.0000
Fe1 Fe 0.0000 0.0000 0.2517
Ni1 Ni 0.0000 0.0000 0.5020
Ni2 Ni 0.0000 0.0000 0.7503
# Energy of formation from the pure elements ... 0.10 eV per formula unit
# DOS at the Fermi energy ... 0.918 states/eV per atom
# Crystal system ... trigonal

2.
# Sr3Cd2Hg4 PBE relaxed
data_Sr3Cd2Hg4
_chemical_formula_sum 'Sr6 Cd4 Hg8'
_cell_length_a 11.400
_cell_length_b 4.997
_cell_length_c 9.724
_cell_angle_alpha 90.00
_cell_angle_beta 98.15
_cell_angle_gamma 90.00
_space_group_name_H-M_alt 'C 1 2/m 1'
_space_group_IT_number 12
_space_group_name_Hall '-C 2y'
loop_
_atom_site_label
_atom_site_type_symbol
_atom_site_fract_x
_atom_site_fract_y
_atom_site_fract_z
Sr1 Sr 0.000 0.000 0.000
Sr2 Sr 0.123 0.500 0.380
Cd1 Cd 0.202 0.500 0.758
Hg1 Hg 0.081 0.000 0.641
Hg2 Hg 0.194 0.500 0.068
# Energy of formation from the pure elements ... -3.61 eV per formula unit
# DOS at the Fermi energy ... 0.552 states/eV per atom
# Relative energy among the computed polymorphs ... 0.41 eV per formula unit
# Crystal system ... monoclinic

3.
# HgPtW2 PBE relaxed
data_HgPtW2
_chemical_formula_sum 'Hg2 Pt2 W4'
_cell_length_a 3.448
_cell_length_b 4.421
_cell_length_c 9.008
_cell_angle_alpha 90.00
_cell_angle_beta 90.00
_cell_angle_gamma 90.00
_space_group_name_H-M_alt 'C m m 2'
_space_group_IT_number 35
_space_group_name_Hall 'C 2 -2'
loop_
_atom_site_label
_atom_site_type_symbol
_atom_site_fract_x
_atom_site_fract_y
_atom_site_fract_z
Hg1 Hg 0.000 0.000 0.000
Pt1 Pt 0.000 0.500 0.266
W1 W 0.000 0.000 0.490
W2 W 0.000 0.500 0.730
# Energy of formation from the pure elements ... 0.90 eV per formula unit
# DOS at the Fermi energy ... 0.559 states/eV per atom
# Crystal system ... orthorhombic

4.
# Na7Cd2Hg2 PBE relaxed
data_Na7Cd2Hg2
_chemical_formula_sum 'Na14 Cd4 Hg4'
_cell_length_a 5.372
_cell_length_b 8.793
_cell_length_c 13.307
_cell_angle_alpha 90.00
_cell_angle_beta 90.00
_cell_angle_gamma 90.00
_space_group_name_H-M_alt 'I m m m'
_space_group_IT_number 71
_space_group_name_Hall '-I 2 2'
loop_
_atom_site_label
_atom_site_type_symbol
_atom_site_fract_x
_atom_site_fract_y
_atom_site_fract_z
Na1 Na 0.000 0.000 0.000
Na2 Na 0.000 0.299 0.143
Na3 Na 0.000 0.500 0.356
Cd1 Cd 0.000 0.000 0.308
Hg1 Hg 0.000 0.203 0.500
# Energy of formation from the pure elements ... -1.10 eV per formula unit
# DOS at the Fermi energy ... 0.311 states/eV per atom
# Relative energy among the computed polymorphs ... 0.00 eV per formula unit
# Crystal system ... orthorhombic

5.
# Er2Al3Cu PBE relaxed
data_Er2Al3Cu
_chemical_formula_sum 'Er6 Al9 Cu3'
_cell_length_a 5.5024
_cell_length_b 5.5024
_cell_length_c 13.0851
_cell_angle_alpha 90.00
_cell_angle_beta 90.00
_cell_angle_gamma 120.00
_space_group_name_H-M_alt 'R -3 m'
_space_group_IT_number 166
_space_group_name_Hall '-R 3 2"'
loop_
_atom_site_label
_atom_site_type_symbol
_atom_site_fract_x
_atom_site_fract_y
_atom_site_fract_z
Er1 Er 0.0000 0.0000 0.1242
Al1 Al 0.0000 0.5000 0.0000
Cu1 Cu 0.0000 0.0000 0.5000
# Energy of formation from the pure elements ... -2.80 eV per formula unit
# DOS at the Fermi energy ... 0.645 states/eV per atom
# Crystal system ... trigonal

6.
# AgTe2Pt2 PBE relaxed
data_AgTe2Pt2
_chemical_formula_sum 'Ag2 Te4 Pt4'
_cell_length_a 3.877
_cell_length_b 3.877
_cell_length_c 15.095
_cell_angle_alpha 90.00
_cell_angle_beta 90.00
_cell_angle_gamma 90.00
_space_group_name_H-M_alt 'I 4/m m m'
_space_group_IT_number 139
_space_group_name_Hall '-I 4 2'
loop_
_atom_site_label
_atom_site_type_symbol
_atom_site_fract_x
_atom_site_fract_y
_atom_site_fract_z
Ag1 Ag 0.000 0.000 0.000
Te1 Te 0.000 0.000 0.381
Pt1 Pt 0.000 0.500 0.250
# Energy relative to the elements, uncorrected ... 0.048 eV per atom
# DOS at the Fermi energy ... 0.712 states/eV per atom
# Relative energy among the computed polymorphs ... 0.26 eV per formula unit
# Crystal system ... tetragonal

7.
# Sc6AgC3 PBE relaxed
data_Sc6AgC3
_chemical_formula_sum 'Sc12 Ag2 C6'
_cell_length_a 10.074
_cell_length_b 3.345
_cell_length_c 10.694
_cell_angle_alpha 90.00
_cell_angle_beta 107.48
_cell_angle_gamma 90.00
_space_group_name_H-M_alt 'P 1 21/m 1'
_space_group_IT_number 11
_space_group_name_Hall '-P 2yb'
loop_
_atom_site_label
_atom_site_type_symbol
_atom_site_fract_x
_atom_site_fract_y
_atom_site_fract_z
Sc1 Sc 0.047 0.250 0.387
Sc2 Sc 0.157 0.750 0.149
Sc3 Sc 0.253 0.250 0.672
Sc4 Sc 0.328 0.750 0.441
Sc5 Sc 0.368 0.750 0.954
Sc6 Sc 0.451 0.250 0.239
Ag1 Ag 0.125 0.250 0.894
C1 C 0.154 0.750 0.536
C2 C 0.246 0.250 0.294
C3 C 0.455 0.250 0.854
# Energy of formation from the pure elements ... -4.16 eV per formula unit
# DOS at the Fermi energy ... 0.819 states/eV per atom
# Crystal system ... monoclinic

8.
# CdGa2I8 PBE relaxed
data_CdGa2I8
_chemical_formula_sum 'Cd4 Ga8 I32'
_cell_length_a 20.602
_cell_length_b 9.661
_cell_length_c 13.792
_cell_angle_alpha 90.00
_cell_angle_beta 129.73
_cell_angle_gamma 90.00
_space_group_name_H-M_alt 'C 1 2/c 1'
_space_group_IT_number 15
_space_group_name_Hall '-C 2yc'
loop_
_atom_site_label
_atom_site_type_symbol
_atom_site_fract_x
_atom_site_fract_y
_atom_site_fract_z
Cd1 Cd 0.000 0.011 0.250
Ga1 Ga 0.085 0.245 0.534
I1 I 0.069 0.230 0.180
I2 I 0.088 0.232 0.726
I3 I 0.155 0.024 0.523
I4 I 0.162 0.463 0.557
# Energy relative to the elements, uncorrected ... -0.507 eV per atom
# DOS at the Fermi energy ... 0.000 states/eV per atom
# Crystal system ... monoclinic

Which of these has the highest DOS at the Fermi energy?
MnFeNi2

Look up the DOS at the Fermi energy of the fifth one.
0.645 states/eV per atom

What is the DOS at the Fermi energy in the seventh record?
0.819 states/eV per atom